Entry 1:
Entry from the Alexandria database: a geometry-optimized Ag2PI2F4 structure (PBE).

abc: 7.581 7.581 5.084
angles: 94.41 94.41 43.32
Fractional coordinates of all 9 atoms:
Ag (0.154, 0.154, 0.307)
Ag (0.846, 0.846, 0.693)
P (0.000, 0.000, 0.000)
I (0.310, 0.310, 0.705)
I (0.690, 0.690, 0.295)
F (0.167, 0.750, 0.192)
F (0.250, 0.833, 0.808)
F (0.750, 0.167, 0.192)
F (0.833, 0.250, 0.808)

Summary:
M_tot	0.0	μB/f.u.
space-group type	C2/m (12)
total energy	-3.548	eV per atom


Entry 2:
Entry from the Alexandria database: a geometry-optimized AlAg2GeO4 structure (PBE).

abc: 5.234 5.234 8.226
angles: 90.00 90.00 90.00
Fractional coordinates of all 16 atoms:
Al (0.000, 0.000, 0.000)
Al (0.500, 0.500, 0.500)
Ag (0.000, 0.000, 0.500)
Ag (0.000, 0.500, 0.750)
Ag (0.500, 0.000, 0.250)
Ag (0.500, 0.500, 0.000)
Ge (0.000, 0.500, 0.250)
Ge (0.500, 0.000, 0.750)
O (0.126, 0.749, 0.124)
O (0.249, 0.374, 0.376)
O (0.251, 0.126, 0.876)
O (0.374, 0.751, 0.624)
O (0.626, 0.249, 0.624)
O (0.749, 0.874, 0.876)
O (0.751, 0.626, 0.376)
O (0.874, 0.251, 0.124)

Summary:
M_tot	0.0	μB/f.u.
space-group type	I-4 (82)
total energy	-5.610	eV per atom


Entry 3:
Entry from the Alexandria database: a geometry-optimized Sr3AlGe2O9 structure (PBE).

abc: 5.447 5.447 6.673
angles: 90.00 90.00 120.00
Fractional coordinates of all 15 atoms:
Sr (0.000, 0.000, 0.000)
Sr (0.333, 0.667, 0.667)
Sr (0.667, 0.333, 0.333)
Al (0.000, 0.000, 0.500)
Ge (0.333, 0.667, 0.174)
Ge (0.667, 0.333, 0.826)
O (0.000, 0.500, 0.000)
O (0.167, 0.334, 0.333)
O (0.167, 0.833, 0.333)
O (0.334, 0.167, 0.667)
O (0.500, 0.000, 0.000)
O (0.500, 0.500, 0.000)
O (0.666, 0.833, 0.333)
O (0.833, 0.167, 0.667)
O (0.833, 0.666, 0.667)

Summary:
M_tot	0.0	μB/f.u.
space-group type	P-3m1 (164)
total energy	-6.523	eV per atom


Entry 4:
Entry from the Alexandria database: a geometry-optimized Na2AlP2S6 structure (PBE).

abc: 6.327 6.327 6.623
angles: 90.00 90.00 120.00
Fractional coordinates of all 11 atoms:
Na (0.333, 0.667, 0.402)
Na (0.667, 0.333, 0.598)
Al (0.000, 0.000, 0.000)
P (0.333, 0.667, 0.920)
P (0.667, 0.333, 0.080)
S (0.079, 0.337, 0.774)
S (0.258, 0.921, 0.774)
S (0.337, 0.258, 0.226)
S (0.663, 0.742, 0.774)
S (0.742, 0.079, 0.226)
S (0.921, 0.663, 0.226)

Summary:
M_tot	0.0	μB/f.u.
space-group type	P-3 (147)
total energy	-4.454	eV per atom


Entry 5:
Entry from the Alexandria database: a geometry-optimized TaGaRu structure (PBE).

abc: 2.991 5.779 11.264
angles: 90.00 90.00 90.00
Fractional coordinates of all 12 atoms:
Ta (0.000, 0.000, 0.157)
Ta (0.000, 0.000, 0.843)
Ta (0.500, 0.500, 0.343)
Ta (0.500, 0.500, 0.657)
Ga (0.000, 0.500, 0.137)
Ga (0.000, 0.500, 0.863)
Ga (0.500, 0.000, 0.363)
Ga (0.500, 0.000, 0.637)
Ru (0.000, 0.257, 0.500)
Ru (0.000, 0.743, 0.500)
Ru (0.500, 0.243, 0.000)
Ru (0.500, 0.757, 0.000)

Summary:
M_tot	0.0	μB/f.u.
space-group type	Immm (71)
energy of formation from the pure elements	-0.2550	eV per atom


Entry 6:
Entry from the Alexandria database: a geometry-optimized Sm2AgC2N6 structure (PBE).

abc: 5.946 5.946 5.972
angles: 114.91 114.91 69.66
Fractional coordinates of all 11 atoms:
Sm (0.184, 0.184, 0.308)
Sm (0.816, 0.816, 0.692)
Ag (0.500, 0.500, 0.000)
C (0.195, 0.195, 0.782)
C (0.805, 0.805, 0.218)
N (0.075, 0.075, 0.825)
N (0.100, 0.430, 0.754)
N (0.430, 0.100, 0.754)
N (0.570, 0.900, 0.246)
N (0.900, 0.570, 0.246)
N (0.925, 0.925, 0.175)

Summary:
M_tot	0.5	μB/f.u.
space-group type	C2/m (12)
total energy	-7.467	eV per atom


Entry 7:
Entry from the Alexandria database: a geometry-optimized InSbRu2 structure (PBE).

abc: 8.402 3.153 5.545
angles: 90.00 101.72 90.00
Fractional coordinates of all 8 atoms:
In (0.000, 0.000, 0.000)
In (0.500, 0.500, 0.000)
Sb (0.000, 0.500, 0.500)
Sb (0.500, 0.000, 0.500)
Ru (0.248, 0.000, 0.722)
Ru (0.252, 0.500, 0.278)
Ru (0.748, 0.500, 0.722)
Ru (0.752, 0.000, 0.278)

Summary:
M_tot	0.0	μB/f.u.
space-group type	C2/m (12)
total energy	-6.185	eV per atom


Entry 8:
Entry from the Alexandria database: a geometry-optimized Ti4CdCu structure (PBE).

abc: 2.889 2.889 12.222
angles: 90.00 90.00 90.00
Fractional coordinates of all 6 atoms:
Ti (0.000, 0.000, 0.146)
Ti (0.000, 0.000, 0.854)
Ti (0.500, 0.500, 0.305)
Ti (0.500, 0.500, 0.695)
Cd (0.000, 0.000, 0.500)
Cu (0.500, 0.500, 0.000)

Summary:
M_tot	0.0	μB/f.u.
space-group type	P4/mmm (123)
energy of formation from the pure elements	-0.0940	eV per atom